1.
# La2CuRu SCAN PBEsol geometry
# DFT total energy = -34.244 eV/atom
# Fermi-level density of states = 0.63 states/eV per atom
# mass density = 8269 kg/m3
# magnetization = 0.00 μB per formula unit
# energy of formation from the pure elements = -185 meV per atom
data_La2CuRu
_cell_length_a 3.4611
_cell_length_b 3.4613
_cell_length_c 7.4163
_cell_angle_alpha 90.00
_cell_angle_beta 90.11
_cell_angle_gamma 90.00
_symmetry_space_group_name_H-M 'P 1 2/m 1'
_symmetry_Int_Tables_number 10
_symmetry_space_group_name_Hall '-P 2y'
loop_
_atom_site_label
_atom_site_fract_x
_atom_site_fract_y
_atom_site_fract_z
_atom_site_occupancy
La1 0.0012 0.0000 0.2621 1
Cu1 0.5000 0.5000 0.0000 1
Ru1 0.5000 0.5000 0.5000 1

=====

2.
# ZrZn2In SCAN PBEsol geometry
# DFT total energy = -23.169 eV/atom
# Fermi-level density of states = 0.35 states/eV per atom
# mass density = 7943 kg/m3
# magnetization = 0.00 μB per formula unit
# energy of formation from the pure elements = -390 meV per atom
data_ZrZn2In
_cell_length_a 4.1617
_cell_length_b 4.1617
_cell_length_c 4.0660
_cell_angle_alpha 90.00
_cell_angle_beta 90.00
_cell_angle_gamma 90.00
_symmetry_space_group_name_H-M 'P 4/m m m'
_symmetry_Int_Tables_number 123
_symmetry_space_group_name_Hall '-P 4 2'
loop_
_atom_site_label
_atom_site_fract_x
_atom_site_fract_y
_atom_site_fract_z
_atom_site_occupancy
Zr1 0.0000 0.0000 0.0000 1
Zn1 0.0000 0.5000 0.5000 1
In1 0.5000 0.5000 0.0000 1

=====

3.
# Y2Co3Cu14 SCAN PBEsol geometry
# DFT total energy = -16.938 eV/atom
# Fermi-level density of states = 0.36 states/eV per atom
# mass density = 8475 kg/m3
# magnetization = 4.40 μB per formula unit
# energy of formation from the pure elements = -76 meV per atom
data_Y2Co3Cu14
_cell_length_a 8.3383
_cell_length_b 8.3383
_cell_length_c 8.0981
_cell_angle_alpha 90.00
_cell_angle_beta 90.00
_cell_angle_gamma 120.00
_symmetry_space_group_name_H-M 'P 63/m m c'
_symmetry_Int_Tables_number 194
_symmetry_space_group_name_Hall '-P 6c 2c'
loop_
_atom_site_label
_atom_site_fract_x
_atom_site_fract_y
_atom_site_fract_z
_atom_site_occupancy
Y1 0.0000 0.0000 0.2500 1
Y2 0.3333 0.6667 0.2500 1
Co1 0.0000 0.5000 0.0000 1
Cu1 0.0401 0.3713 0.7500 1
Cu2 0.1664 0.3328 0.0192 1
Cu3 0.3333 0.6667 0.6011 1

=====

4.
# Cr3In2 SCAN PBEsol geometry
# DFT total energy = -23.941 eV/atom
# Fermi-level density of states = 0.54 states/eV per atom
# mass density = 6475 kg/m3
# magnetization = 12.02 μB per formula unit
# energy of formation from the pure elements = 444 meV per atom
data_Cr3In2
_cell_length_a 4.5120
_cell_length_b 4.5120
_cell_length_c 5.6093
_cell_angle_alpha 90.00
_cell_angle_beta 90.00
_cell_angle_gamma 120.00
_symmetry_space_group_name_H-M 'P -3 m 1'
_symmetry_Int_Tables_number 164
_symmetry_space_group_name_Hall '-P 3 2"'
loop_
_atom_site_label
_atom_site_fract_x
_atom_site_fract_y
_atom_site_fract_z
_atom_site_occupancy
Cr1 0.0000 0.0000 0.0000 1
Cr2 0.3333 0.6667 0.3401 1
In1 0.3333 0.6667 0.8252 1

=====

5.
# CsZrSi2 SCAN PBEsol geometry
# DFT total energy = -21.706 eV/atom
# E_form (uncorrected) = 0.429 eV per atom
# Fermi-level density of states = 0.59 states/eV per atom
# mass density = 3312 kg/m3
# magnetization = 0.00 μB per formula unit
data_CsZrSi2
_cell_length_a 5.6576
_cell_length_b 5.6576
_cell_length_c 17.5606
_cell_angle_alpha 90.00
_cell_angle_beta 90.00
_cell_angle_gamma 90.00
_symmetry_space_group_name_H-M 'I 41/a m d'
_symmetry_Int_Tables_number 141
loop_
_symmetry_equiv_pos_as_xyz
'x,y,z'
'-x,-y,-z'
'-y+1/4,x+3/4,z+1/4'
'y+1/4,-x+3/4,-z+1/4'
'-x+1/2,-y,z+1/2'
'x+1/2,y,-z+1/2'
'y+1/4,-x+1/4,z+3/4'
'-y+1/4,x+1/4,-z+3/4'
'x,-y,-z'
'-x,y,z'
'-y+1/4,-x+1/4,-z+3/4'
'y+1/4,x+1/4,z+3/4'
'-x+1/2,y,-z+1/2'
'x+1/2,-y,z+1/2'
'y+1/4,x+3/4,-z+1/4'
'-y+1/4,-x+3/4,z+1/4'
'x+1/2,y+1/2,z+1/2'
'-x+1/2,-y+1/2,-z+1/2'
'-y+3/4,x+1/4,z+3/4'
'y+3/4,-x+1/4,-z+3/4'
'-x,-y+1/2,z'
'x,y+1/2,-z'
'y+3/4,-x+3/4,z+1/4'
'-y+3/4,x+3/4,-z+1/4'
'x+1/2,-y+1/2,-z+1/2'
'-x+1/2,y+1/2,z+1/2'
'-y+3/4,-x+3/4,-z+1/4'
'y+3/4,x+3/4,z+1/4'
'-x,y+1/2,-z'
'x,-y+1/2,z'
'y+3/4,x+1/4,-z+3/4'
'-y+3/4,-x+1/4,z+3/4'
loop_
_atom_site_label
_atom_site_fract_x
_atom_site_fract_y
_atom_site_fract_z
_atom_site_occupancy
Cs1 0.0000 0.2500 0.3750 1
Zr1 0.0000 0.2500 0.8750 1
Si1 0.0000 0.0000 0.0000 1

=====

6.
# BHSeBr2 SCAN PBEsol geometry
# DFT total energy = -12.750 eV/atom
# Fermi-level density of states = 0.53 states/eV per atom
# mass density = 4615 kg/m3
# magnetization = 0.20 μB per formula unit
data_BHSeBr2
_cell_length_a 5.0907
_cell_length_b 5.0907
_cell_length_c 3.4792
_cell_angle_alpha 90.00
_cell_angle_beta 90.00
_cell_angle_gamma 90.00
_symmetry_space_group_name_H-M 'P 4/m m m'
_symmetry_Int_Tables_number 123
_symmetry_space_group_name_Hall '-P 4 2'
loop_
_atom_site_label
_atom_site_fract_x
_atom_site_fract_y
_atom_site_fract_z
_atom_site_occupancy
B1 0.0000 0.0000 0.0000 1
H1 0.5000 0.5000 0.5000 1
Se1 0.5000 0.5000 0.0000 1
Br1 0.0000 0.5000 0.5000 1

=====

7.
# GeBiI2O SCAN PBEsol geometry
# DFT total energy = -35.267 eV/atom
# E_form (uncorrected) = 0.209 eV per atom
# Fermi-level density of states = 0.49 states/eV per atom
# mass density = 5767 kg/m3
# magnetization = 0.84 μB per formula unit
data_GeBiI2O
_cell_length_a 6.1198
_cell_length_b 6.1198
_cell_length_c 4.2397
_cell_angle_alpha 90.00
_cell_angle_beta 90.00
_cell_angle_gamma 90.00
_symmetry_space_group_name_H-M 'P 4/m m m'
_symmetry_Int_Tables_number 123
_symmetry_space_group_name_Hall '-P 4 2'
loop_
_atom_site_label
_atom_site_fract_x
_atom_site_fract_y
_atom_site_fract_z
_atom_site_occupancy
Ge1 0.0000 0.0000 0.0000 1
Bi1 0.5000 0.5000 0.5000 1
I1 0.0000 0.5000 0.5000 1
O1 0.5000 0.5000 0.0000 1

=====

8.
# Y2Ta2Pb SCAN PBEsol geometry
# DFT total energy = -52.753 eV/atom
# Fermi-level density of states = 0.87 states/eV per atom
# mass density = 9509 kg/m3
# magnetization = 0.00 μB per formula unit
# energy of formation from the pure elements = 174 meV per atom
data_Y2Ta2Pb
_cell_length_a 3.6869
_cell_length_b 3.6869
_cell_length_c 19.1906
_cell_angle_alpha 90.00
_cell_angle_beta 90.00
_cell_angle_gamma 90.00
_symmetry_space_group_name_H-M 'I 4/m m m'
_symmetry_Int_Tables_number 139
_symmetry_space_group_name_Hall '-I 4 2'
loop_
_atom_site_label
_atom_site_fract_x
_atom_site_fract_y
_atom_site_fract_z
_atom_site_occupancy
Y1 0.0000 0.0000 0.1117 1
Ta1 0.0000 0.5000 0.2500 1
Pb1 0.0000 0.0000 0.5000 1

=====

Question: Which of these has the lowest mass density?
Answer: CsZrSi2

=====

Question: Among the records above, which one has the highest Fermi-level density of states?
Answer: Y2Ta2Pb